## ScSi2Pb (GGA-PBE)

Data for a geometry-optimized ScSi2Pb structure.

a = 5.1424 Å, b = 5.1424 Å, c = 5.6475 Å
α = 113.55°, β = 113.55°, γ = 41.46°
With the nearest neighbours (Å) after each atom.
Positions (direct):
Sc 0.0000 0.0000 0.0000  6 Si 2.78-2.89
Si 0.2597 0.2597 0.8693  2 Si 2.40
Si 0.7403 0.7403 0.1307  2 Si 2.40
Pb 0.5000 0.5000 0.5000  6 Si 3.07-3.32, 4 Sc 3.36

Calculated values
formation energy from raw total energies	-77	meV/atom
crystal system	monoclinic
E	-21.19	eV/f.u.



## Ce2MnGe3 (GGA-PBE)

Data for a geometry-optimized Ce2MnGe3 structure.

a = 5.7561 Å, b = 5.7561 Å, c = 7.0147 Å
α = 126.49°, β = 126.49°, γ = 44.23°
With the nearest neighbours (Å) after each atom.
Positions (direct):
Ce 0.0000 0.0000 0.0000  9 Ge 3.04-3.29, 3 Mn 3.26-3.37, 1 Ce 3.38
Ce 0.1012 0.1012 0.6315  8 Ge 3.04-3.28, 3 Mn 3.14-3.16, 1 Ce 3.38
Mn 0.3869 0.3869 0.2103  4 Ge 2.44-2.61
Ge 0.3628 0.3628 0.5582  1 Mn 2.61, 2 Ge 2.66
Ge 0.6782 0.6782 0.4173  1 Mn 2.44, 2 Ge 2.66
Ge 0.7457 0.7457 0.0681  2 Mn 2.46

Calculated values
energy of formation from the pure elements	-0.49	eV/atom
distance to the lowest polymorph of the same formula	0	meV per atom
crystal system	monoclinic
E	-37.82	eV/f.u.